1.
Material: TaAsF3
Method: DFT, PBE
State: optimized geometry

Geometry as POSCAR:
```
TaAsF3
1.0
-3.686 -1.244 1.622
0.229 -3.575 -2.221
2.031 -1.854 3.194
F Ta As
3 1 1
Direct
0.500 0.000 0.000 F
0.000 0.000 0.500 F
0.000 0.500 0.000 F
0.000 0.000 0.000 Ta
0.500 0.500 0.500 As
```

* ρ: 6.94 Mg/m³
* D(E_F): 0.786 states/eV/atom



2.
Material: TaAsF3
Method: DFT, PBE
State: optimized geometry

Geometry as POSCAR:
```
TaAsF3
1.0
4.388 0.000 0.000
0.000 4.388 0.000
0.000 0.000 4.388
As F Ta
1 3 1
Direct
0.000 0.000 0.000 As
0.500 0.000 0.000 F
0.000 0.000 0.500 F
0.000 0.500 0.000 F
0.500 0.500 0.500 Ta
```

* ρ: 6.15 Mg/m³
* D(E_F): 2.010 states/eV/atom



Most stable: 1. Least stable: 2.



1.
Material: Ta2AsF2
Method: DFT, PBE
State: optimized geometry

Geometry as POSCAR:
```
Ta2AsF2
1.0
-7.169 -1.682 -0.887
0.578 -5.222 5.236
-0.676 1.863 1.932
F Ta As
4 4 2
Direct
0.807 0.307 0.500 F
0.307 0.193 0.500 F
0.693 0.807 0.500 F
0.193 0.693 0.500 F
0.355 0.855 0.000 Ta
0.645 0.145 0.000 Ta
0.145 0.355 0.000 Ta
0.855 0.645 0.000 Ta
0.500 0.500 0.000 As
0.000 0.000 0.000 As
```

* ρ: 10.36 Mg/m³
* D(E_F): 0.861 states/eV/atom



2.
Material: Ta2AsF2
Method: DFT, PBE
State: optimized geometry

Geometry as POSCAR:
```
Ta2AsF2
1.0
-2.690 1.933 -0.314
-1.585 -1.835 2.279
-0.004 3.743 5.441
Ta As F
2 1 2
Direct
0.386 0.386 0.227 Ta
0.614 0.614 0.773 Ta
0.000 0.000 0.000 As
0.250 0.750 0.500 F
0.750 0.250 0.500 F
```

* ρ: 11.54 Mg/m³
* D(E_F): 0.854 states/eV/atom



Most stable: 2. Least stable: 1.